## w
# PrNd5In4 | the Alexandria database | GGA-PBE | optimized geometry
data_PrNd5In4
_space_group_name_H-M_alt 'P 4/m m m'
_space_group_IT_number 123
_space_group_name_Hall '-P 4 2'
_cell_length_a 3.6329
_cell_length_b 3.6329
_cell_length_c 22.9635
_cell_angle_alpha 90.00
_cell_angle_beta 90.00
_cell_angle_gamma 90.00
loop_
_atom_site_label
_atom_site_type_symbol
_atom_site_fract_x
_atom_site_fract_y
_atom_site_fract_z
_atom_site_occupancy
Pr1 Pr 0.0000 0.0000 0.0000 1
Nd1 Nd 0.5000 0.5000 0.1181 1
Nd2 Nd 0.5000 0.5000 0.3085 1
Nd3 Nd 0.5000 0.5000 0.5000 1
In1 In 0.0000 0.0000 0.2122 1
In2 In 0.0000 0.0000 0.4041 1
# total magnetic moment: 0.0 μB/cell
# N(E_F): 0.764 states/eV/atom

## x
# PrNd5In4 | the Alexandria database | GGA-PBE | optimized geometry
data_PrNd5In4
_space_group_name_H-M_alt 'P m m n'
_space_group_IT_number 59
_cell_length_a 8.4071
_cell_length_b 9.3008
_cell_length_c 8.8144
_cell_angle_alpha 90.00
_cell_angle_beta 90.00
_cell_angle_gamma 90.00
loop_
_space_group_symop_operation_xyz
'x,y,z'
'-x,-y,-z'
'-x+1/2,-y+1/2,z'
'x+1/2,y+1/2,-z'
'x+1/2,-y,-z'
'-x+1/2,y,z'
'-x,y+1/2,-z'
'x,-y+1/2,z'
loop_
_atom_site_label
_atom_site_type_symbol
_atom_site_fract_x
_atom_site_fract_y
_atom_site_fract_z
_atom_site_occupancy
Pr1 Pr 0.2500 0.2500 0.1544 1
Nd1 Nd 0.0028 0.5530 0.2323 1
Nd2 Nd 0.2500 0.7500 0.5807 1
In1 In 0.0889 0.7500 0.9408 1
In2 In 0.2500 0.0920 0.4902 1
# total magnetic moment: 0.0 μB/cell
# N(E_F): 0.918 states/eV/atom

Short version: x is the least stable of them.

## w
# Pr3Nd2In3 | the Alexandria database | GGA-PBE | optimized geometry
data_Pr3Nd2In3
_space_group_name_H-M_alt 'P -6 2 m'
_space_group_IT_number 189
_space_group_name_Hall 'P -6 -2'
_cell_length_a 8.9742
_cell_length_b 8.9742
_cell_length_c 3.5235
_cell_angle_alpha 90.00
_cell_angle_beta 90.00
_cell_angle_gamma 120.00
loop_
_atom_site_label
_atom_site_type_symbol
_atom_site_fract_x
_atom_site_fract_y
_atom_site_fract_z
_atom_site_occupancy
Pr1 Pr 0.0000 0.7563 0.0000 1
Nd1 Nd 0.3333 0.6667 0.0000 1
In1 In 0.0000 0.3809 0.5000 1
# total magnetic moment: 0.0 μB/cell
# N(E_F): 1.149 states/eV/atom

## x
# Pr3Nd2In3 | the Alexandria database | GGA-PBE | optimized geometry
data_Pr3Nd2In3
_space_group_name_H-M_alt 'I m m m'
_space_group_IT_number 71
_space_group_name_Hall '-I 2 2'
_cell_length_a 4.5485
_cell_length_b 5.0978
_cell_length_c 21.2391
_cell_angle_alpha 90.00
_cell_angle_beta 90.00
_cell_angle_gamma 90.00
loop_
_atom_site_label
_atom_site_type_symbol
_atom_site_fract_x
_atom_site_fract_y
_atom_site_fract_z
_atom_site_occupancy
Pr1 Pr 0.0000 0.0000 0.0000 1
Pr2 Pr 0.0000 0.5000 0.1194 1
Nd1 Nd 0.0000 0.0000 0.2363 1
In1 In 0.0000 0.0000 0.5000 1
In2 In 0.0000 0.5000 0.3750 1
# total magnetic moment: 0.0 μB/cell
# N(E_F): 0.989 states/eV/atom

Short version: w is the least stable of them.

## w
# Pr2Nd3In | the Alexandria database | GGA-PBE | optimized geometry
data_Pr2Nd3In
_space_group_name_H-M_alt 'C m m m'
_space_group_IT_number 65
_space_group_name_Hall '-C 2 2'
_cell_length_a 5.0034
_cell_length_b 15.7178
_cell_length_c 5.0205
_cell_angle_alpha 90.00
_cell_angle_beta 90.00
_cell_angle_gamma 90.00
loop_
_atom_site_label
_atom_site_type_symbol
_atom_site_fract_x
_atom_site_fract_y
_atom_site_fract_z
_atom_site_occupancy
Pr1 Pr 0.0000 0.1625 0.0000 1
Nd1 Nd 0.0000 0.0000 0.5000 1
Nd2 Nd 0.0000 0.3387 0.5000 1
In1 In 0.0000 0.5000 0.0000 1
# total magnetic moment: 0.0 μB/cell
# N(E_F): 1.313 states/eV/atom

## x
# Pr2Nd3In | the Alexandria database | GGA-PBE | optimized geometry
data_Pr2Nd3In
_space_group_name_H-M_alt 'C 1 2/c 1'
_space_group_IT_number 15
_space_group_name_Hall '-C 2yc'
_cell_length_a 17.6433
_cell_length_b 6.9682
_cell_length_c 6.6763
_cell_angle_alpha 90.00
_cell_angle_beta 100.45
_cell_angle_gamma 90.00
loop_
_atom_site_label
_atom_site_type_symbol
_atom_site_fract_x
_atom_site_fract_y
_atom_site_fract_z
_atom_site_occupancy
Pr1 Pr 0.1601 0.0977 0.0739 1
Nd1 Nd 0.0000 0.2741 0.7500 1
Nd2 Nd 0.1648 0.3892 0.5365 1
In1 In 0.0000 0.2192 0.2500 1
# total magnetic moment: 0.0 μB/cell
# N(E_F): 1.146 states/eV/atom

Short version: x is the least stable of them.

## w
# PrNdIn4 | the Alexandria database | GGA-PBE | optimized geometry
data_PrNdIn4
_space_group_name_H-M_alt 'F -4 3 m'
_space_group_IT_number 216
_space_group_name_Hall 'F -4 2 3'
_cell_length_a 8.6304
_cell_length_b 8.6304
_cell_length_c 8.6304
_cell_angle_alpha 90.00
_cell_angle_beta 90.00
_cell_angle_gamma 90.00
loop_
_atom_site_label
_atom_site_type_symbol
_atom_site_fract_x
_atom_site_fract_y
_atom_site_fract_z
_atom_site_occupancy
Pr1 Pr 0.0000 0.0000 0.0000 1
Nd1 Nd 0.2500 0.2500 0.7500 1
In1 In 0.1250 0.1250 0.3750 1
# total magnetic moment: 0.0 μB/cell
# N(E_F): 0.760 states/eV/atom

## x
# PrNdIn4 | the Alexandria database | GGA-PBE | optimized geometry
data_PrNdIn4
_space_group_name_H-M_alt 'C m m m'
_space_group_IT_number 65
_space_group_name_Hall '-C 2 2'
_cell_length_a 5.0616
_cell_length_b 5.3341
_cell_length_c 12.3981
_cell_angle_alpha 90.00
_cell_angle_beta 90.00
_cell_angle_gamma 90.00
loop_
_atom_site_label
_atom_site_type_symbol
_atom_site_fract_x
_atom_site_fract_y
_atom_site_fract_z
_atom_site_occupancy
Pr1 Pr 0.0000 0.0000 0.0000 1
Nd1 Nd 0.0000 0.5000 0.5000 1
In1 In 0.0000 0.0000 0.3232 1
In2 In 0.0000 0.5000 0.1793 1
# total magnetic moment: 0.2 μB/cell
# N(E_F): 0.701 states/eV/atom

Short version: x is the least stable of them.

## w
# PrNd4In2 | the Alexandria database | GGA-PBE | optimized geometry
data_PrNd4In2
_space_group_name_H-M_alt 'C m m m'
_space_group_IT_number 65
_space_group_name_Hall '-C 2 2'
_cell_length_a 6.9095
_cell_length_b 11.4733
_cell_length_c 5.5956
_cell_angle_alpha 90.00
_cell_angle_beta 90.00
_cell_angle_gamma 90.00
loop_
_atom_site_label
_atom_site_type_symbol
_atom_site_fract_x
_atom_site_fract_y
_atom_site_fract_z
_atom_site_occupancy
Pr1 Pr 0.0000 0.0000 0.0000 1
Nd1 Nd 0.0000 0.2215 0.5000 1
Nd2 Nd 0.0000 0.3556 0.0000 1
In1 In 0.2080 0.5000 0.5000 1
# total magnetic moment: 0.0 μB/cell
# N(E_F): 1.087 states/eV/atom

## x
# PrNd4In2 | the Alexandria database | GGA-PBE | optimized geometry
data_PrNd4In2
_space_group_name_H-M_alt 'I 4/m m m'
_space_group_IT_number 139
_space_group_name_Hall '-I 4 2'
_cell_length_a 6.0642
_cell_length_b 6.0642
_cell_length_c 12.7150
_cell_angle_alpha 90.00
_cell_angle_beta 90.00
_cell_angle_gamma 90.00
loop_
_atom_site_label
_atom_site_type_symbol
_atom_site_fract_x
_atom_site_fract_y
_atom_site_fract_z
_atom_site_occupancy
Pr1 Pr 0.0000 0.0000 0.0000 1
Nd1 Nd 0.0000 0.5000 0.0000 1
Nd2 Nd 0.0000 0.5000 0.2500 1
In1 In 0.0000 0.0000 0.3746 1
# total magnetic moment: 0.9 μB/cell
# N(E_F): 1.339 states/eV/atom

Short version: x is the least stable of them.